<w>
An optimized crystal structure of Gd2ErCd, computed with GGA-PBE.

a = 4.868 Å, b = 4.863 Å, c = 4.863 Å
α = 90.00°, β = 90.00°, γ = 90.00°
Each line ends with the local moment (μB).
Positions (direct):
1 Cd 0.500 0.000 0.000  0.00
2 Er 0.500 0.500 0.500  0.32
3 Gd 0.000 0.500 0.000  7.32
4 Gd 0.000 0.000 0.500  7.32

Summary:
As for the density of states at the Fermi level: 1.366 states/eV per atom. The space group is No. 123.



<x>
An optimized crystal structure of Gd2ErCd, computed with GGA-PBE.

a = 3.593 Å, b = 3.593 Å, c = 9.132 Å
α = 90.00°, β = 90.00°, γ = 90.00°
Each line ends with the local moment (μB).
Positions (direct):
1 Gd 0.000 0.000 0.230  7.16
2 Gd 0.000 0.000 0.770  7.16
3 Cd 0.500 0.500 0.000  0.00
4 Er 0.500 0.500 0.500  0.10

Summary:
As for the density of states at the Fermi level: 1.497 states/eV per atom. The space group is No. 123.



<y>
An optimized crystal structure of Gd2ErCd, computed with GGA-PBE.

a = 5.459 Å, b = 5.459 Å, c = 5.459 Å
α = 60.00°, β = 60.00°, γ = 60.00°
Each line ends with the local moment (μB).
Positions (direct):
1 Cd 0.500 0.500 0.500  -0.01
2 Gd 0.250 0.250 0.250  7.19
3 Gd 0.750 0.750 0.750  7.19
4 Er 0.000 0.000 0.000  0.18

Summary:
As for the density of states at the Fermi level: 1.226 states/eV per atom. The space group is No. 225.



<z>
An optimized crystal structure of Gd2ErCd, computed with GGA-PBE.

a = 3.471 Å, b = 3.471 Å, c = 12.292 Å
α = 81.88°, β = 81.88°, γ = 60.00°
Each line ends with the local moment (μB).
Positions (direct):
1 Cd 0.000 0.000 0.000  -0.01
2 Gd 0.911 0.911 0.267  -7.20
3 Gd 0.089 0.089 0.733  -7.20
4 Er 0.500 0.500 0.500  0.13

Summary:
As for the density of states at the Fermi level: 1.283 states/eV per atom. The space group is No. 166.



The most stable arrangement is <x>, and the next structure is 0.032 eV/atom less stable.



<w>
An optimized crystal structure of ErHfCd, computed with GGA-PBE.

a = 3.297 Å, b = 3.296 Å, c = 13.409 Å
α = 89.99°, β = 90.00°, γ = 90.00°
Positions (direct):
1 Er 0.372 0.791 0.010
2 Er 0.872 0.291 0.503
3 Cd 0.873 0.291 0.181
4 Cd 0.373 0.791 0.331
5 Hf 0.372 0.791 0.678
6 Hf 0.872 0.291 0.834

Summary:
As for the density of states at the Fermi level: 1.232 states/eV per atom. The space group is No. 129.



<x>
An optimized crystal structure of ErHfCd, computed with GGA-PBE.

a = 3.337 Å, b = 3.337 Å, c = 6.949 Å
α = 103.89°, β = 103.89°, γ = 90.00°
Positions (direct):
1 Hf 0.329 0.329 0.658
2 Er 0.998 0.998 0.995
3 Cd 0.673 0.673 0.347

Summary:
As for the density of states at the Fermi level: 0.644 states/eV per atom. The space group is No. 107.



The most stable arrangement is <x>, and the next structure is 0.024 eV/atom less stable.



<w>
An optimized crystal structure of Er4Cd3Hg, computed with GGA-PBE.

a = 3.627 Å, b = 4.864 Å, c = 11.796 Å
α = 90.00°, β = 90.00°, γ = 90.00°
Positions (direct):
1 Cd 0.000 0.000 0.425
2 Cd 0.500 0.000 0.924
3 Cd 0.000 0.500 0.574
4 Er 0.500 0.500 0.339
5 Er 0.000 0.000 0.157
6 Er 0.000 0.500 0.843
7 Er 0.500 0.000 0.660
8 Hg 0.500 0.500 0.078

Summary:
As for the density of states at the Fermi level: 0.895 states/eV per atom. The space group is No. 25.



<x>
An optimized crystal structure of Er4Cd3Hg, computed with GGA-PBE.

a = 3.710 Å, b = 3.710 Å, c = 14.804 Å
α = 90.00°, β = 90.00°, γ = 90.00°
Positions (direct):
1 Er 0.000 0.000 0.626
2 Er 0.000 0.000 0.877
3 Er 0.000 0.000 0.374
4 Er 0.000 0.000 0.123
5 Cd 0.500 0.500 0.500
6 Cd 0.500 0.500 0.250
7 Cd 0.500 0.500 0.750
8 Hg 0.500 0.500 0.000

Summary:
As for the density of states at the Fermi level: 0.924 states/eV per atom. The space group is No. 123.



The most stable arrangement is <x>, and the next structure is 0.057 eV/atom less stable.



<w>
An optimized crystal structure of ErCdHg6, computed with GGA-PBE.

a = 6.403 Å, b = 6.403 Å, c = 8.423 Å
α = 67.66°, β = 67.66°, γ = 60.00°
Positions (direct):
1 Hg 0.552 0.073 0.303
2 Hg 0.927 0.448 0.697
3 Hg 0.927 0.927 0.697
4 Hg 0.073 0.552 0.303
5 Hg 0.073 0.073 0.303
6 Hg 0.448 0.927 0.697
7 Er 0.000 0.000 0.000
8 Cd 0.500 0.500 0.500

Summary:
As for the density of states at the Fermi level: 0.418 states/eV per atom. The space group is No. 166.



<x>
An optimized crystal structure of ErCdHg6, computed with GGA-PBE.

a = 4.682 Å, b = 4.682 Å, c = 8.799 Å
α = 90.00°, β = 90.00°, γ = 90.00°
Positions (direct):
1 Hg 0.500 0.500 0.500
2 Hg 0.500 0.000 0.751
3 Hg 0.500 0.500 0.000
4 Hg 0.500 0.000 0.249
5 Hg 0.000 0.500 0.751
6 Hg 0.000 0.500 0.249
7 Cd 0.000 0.000 0.000
8 Er 0.000 0.000 0.500

Summary:
As for the density of states at the Fermi level: 0.560 states/eV per atom. The space group is No. 123.



The most stable arrangement is <x>, and the next structure is 0.213 eV/atom less stable.



<w>
An optimized crystal structure of Er2Cd2Hg7, computed with GGA-PBE.

a = 5.391 Å, b = 10.186 Å, c = 7.711 Å
α = 48.66°, β = 70.46°, γ = 59.57°
Positions (direct):
1 Hg 0.403 0.273 0.000
2 Hg 0.000 0.000 0.000
3 Hg 0.597 0.727 0.000
4 Hg 0.834 0.413 0.513
5 Hg 0.834 0.926 0.487
6 Hg 0.166 0.587 0.487
7 Hg 0.166 0.074 0.513
8 Cd 0.194 0.614 0.000
9 Cd 0.806 0.386 0.000
10 Er 0.500 0.836 0.329
11 Er 0.500 0.164 0.671

Summary:
As for the density of states at the Fermi level: 0.409 states/eV per atom. The space group is No. 12.



<x>
An optimized crystal structure of Er2Cd2Hg7, computed with GGA-PBE.

a = 7.096 Å, b = 6.250 Å, c = 7.096 Å
α = 90.00°, β = 96.65°, γ = 90.00°
Positions (direct):
1 Hg 0.500 0.261 0.000
2 Hg 0.500 0.736 0.500
3 Hg 0.000 0.261 0.500
4 Hg 0.500 0.739 0.000
5 Hg 0.000 0.000 0.000
6 Hg 0.500 0.264 0.500
7 Hg 0.000 0.739 0.500
8 Er 0.808 0.500 0.808
9 Er 0.192 0.500 0.192
10 Cd 0.268 0.000 0.732
11 Cd 0.732 0.000 0.268

Summary:
As for the density of states at the Fermi level: 0.462 states/eV per atom. The space group is No. 65.



The most stable arrangement is <w>, and the next structure is 0.211 eV/atom less stable.



<w>
An optimized crystal structure of ErCd3Hg, computed with GGA-PBE.

a = 4.827 Å, b = 7.101 Å, c = 6.949 Å
α = 90.00°, β = 90.00°, γ = 90.00°
Positions (direct):
1 Cd 0.500 0.801 0.758
2 Cd 0.000 0.000 0.954
3 Cd 0.500 0.500 0.046
4 Cd 0.000 0.699 0.242
5 Cd 0.500 0.199 0.758
6 Cd 0.000 0.301 0.242
7 Er 0.000 0.500 0.736
8 Er 0.500 0.000 0.264
9 Hg 0.500 0.500 0.457
10 Hg 0.000 0.000 0.543

Summary:
As for the density of states at the Fermi level: 0.356 states/eV per atom. The space group is No. 59.



<x>
An optimized crystal structure of ErCd3Hg, computed with GGA-PBE.

a = 3.862 Å, b = 9.803 Å, c = 12.768 Å
α = 90.00°, β = 90.00°, γ = 90.00°
Positions (direct):
1 Cd 0.250 0.594 0.108
2 Cd 0.750 0.906 0.608
3 Cd 0.750 0.406 0.892
4 Cd 0.750 0.591 0.300
5 Cd 0.250 0.361 0.300
6 Cd 0.750 0.639 0.700
7 Cd 0.750 0.091 0.200
8 Cd 0.250 0.909 0.800
9 Cd 0.750 0.139 0.800
10 Cd 0.250 0.094 0.392
11 Cd 0.250 0.861 0.200
12 Cd 0.250 0.409 0.700
13 Er 0.250 0.659 0.500
14 Er 0.250 0.159 0.000
15 Er 0.750 0.841 0.000
16 Er 0.750 0.341 0.500
17 Hg 0.750 0.866 0.383
18 Hg 0.250 0.634 0.883
19 Hg 0.750 0.366 0.117
20 Hg 0.250 0.134 0.617

Summary:
As for the density of states at the Fermi level: 0.393 states/eV per atom. The space group is No. 62.



The most stable arrangement is <x>, and the next structure is 0.010 eV/atom less stable.



<w>
An optimized crystal structure of ErCd2Hg5, computed with GGA-PBE.

a = 7.864 Å, b = 7.864 Å, c = 8.472 Å
α = 117.65°, β = 117.65°, γ = 90.00°
Positions (direct):
1 Hg 0.687 0.187 0.679
2 Hg 0.500 0.500 0.000
3 Hg 0.008 0.508 0.321
4 Hg 0.000 0.000 0.000
5 Hg 0.313 0.813 0.321
6 Hg 0.492 0.687 0.679
7 Hg 0.508 0.313 0.321
8 Hg 0.992 0.492 0.679
9 Hg 0.187 0.992 0.679
10 Hg 0.813 0.008 0.321
11 Er 0.750 0.750 0.500
12 Er 0.250 0.250 0.500
13 Cd 0.857 0.643 0.000
14 Cd 0.357 0.857 0.000
15 Cd 0.643 0.143 0.000
16 Cd 0.143 0.357 0.000

Summary:
As for the density of states at the Fermi level: 0.530 states/eV per atom. The space group is No. 140.



<x>
An optimized crystal structure of ErCd2Hg5, computed with GGA-PBE.

a = 6.325 Å, b = 6.325 Å, c = 6.326 Å
α = 108.15°, β = 108.15°, γ = 112.14°
Positions (direct):
1 Er 0.779 0.778 0.000
2 Hg 0.778 0.278 0.000
3 Hg 0.278 0.777 0.000
4 Hg 0.277 0.277 0.000
5 Hg 0.777 0.778 0.499
6 Hg 0.278 0.278 0.501
7 Cd 0.778 0.278 0.500
8 Cd 0.278 0.778 0.500

Summary:
As for the density of states at the Fermi level: 0.473 states/eV per atom. The space group is No. 107.



The most stable arrangement is <x>, and the next structure is 0.019 eV/atom less stable.



<w>
An optimized crystal structure of ErCd3Hg6, computed with GGA-PBE.

a = 8.374 Å, b = 8.374 Å, c = 8.374 Å
α = 104.87°, β = 104.87°, γ = 104.87°
Positions (direct):
1 Hg 0.646 0.192 0.477
2 Hg 0.977 0.692 0.146
3 Hg 0.808 0.523 0.354
4 Hg 0.692 0.146 0.977
5 Hg 0.854 0.023 0.308
6 Hg 0.192 0.477 0.646
7 Hg 0.308 0.854 0.023
8 Hg 0.354 0.808 0.523
9 Hg 0.146 0.977 0.692
10 Hg 0.023 0.308 0.854
11 Hg 0.523 0.354 0.808
12 Hg 0.477 0.646 0.192
13 Er 0.500 0.500 0.500
14 Er 0.000 0.000 0.000
15 Cd 0.096 0.405 0.250
16 Cd 0.250 0.096 0.405
17 Cd 0.750 0.904 0.595
18 Cd 0.405 0.250 0.096
19 Cd 0.904 0.595 0.750
20 Cd 0.595 0.750 0.904

Summary:
As for the density of states at the Fermi level: 0.341 states/eV per atom. The space group is No. 167.



<x>
An optimized crystal structure of ErCd3Hg6, computed with GGA-PBE.

a = 4.851 Å, b = 11.153 Å, c = 10.819 Å
α = 117.81°, β = 90.00°, γ = 90.00°
Positions (direct):
1 Hg 0.750 0.185 0.493
2 Hg 0.750 0.984 0.146
3 Hg 0.750 0.491 0.154
4 Hg 0.750 0.813 0.320
5 Hg 0.250 0.509 0.846
6 Hg 0.750 0.509 0.674
7 Hg 0.750 0.817 0.814
8 Hg 0.250 0.187 0.680
9 Hg 0.250 0.491 0.326
10 Hg 0.250 0.183 0.186
11 Hg 0.250 0.016 0.854
12 Hg 0.250 0.815 0.507
13 Cd 0.750 0.645 0.499
14 Cd 0.250 0.656 0.154
15 Cd 0.750 0.344 0.846
16 Cd 0.250 0.810 0.987
17 Cd 0.250 0.355 0.501
18 Cd 0.750 0.190 0.013
19 Er 0.250 0.000 0.342
20 Er 0.750 0.000 0.658

Summary:
As for the density of states at the Fermi level: 0.479 states/eV per atom. The space group is No. 11.



The most stable arrangement is <w>, and the next structure is 0.016 eV/atom less stable.



<w>
An optimized crystal structure of ErCd2Hg, computed with GGA-PBE.

a = 5.063 Å, b = 5.063 Å, c = 5.055 Å
α = 90.18°, β = 119.90°, γ = 119.95°
Positions (direct):
1 Hg 0.125 0.312 0.438
2 Er 0.625 0.563 0.187
3 Cd 0.125 0.812 0.937
4 Cd 0.625 0.062 0.688

Summary:
As for the density of states at the Fermi level: 0.454 states/eV per atom. The space group is No. 119.



<x>
An optimized crystal structure of ErCd2Hg, computed with GGA-PBE.

a = 4.838 Å, b = 4.434 Å, c = 4.434 Å
α = 90.00°, β = 90.00°, γ = 90.00°
Positions (direct):
1 Er 0.500 0.500 0.500
2 Cd 0.000 0.000 0.500
3 Cd 0.000 0.500 0.000
4 Hg 0.500 0.000 0.000

Summary:
As for the density of states at the Fermi level: 0.551 states/eV per atom. The space group is No. 123.



<y>
An optimized crystal structure of ErCd2Hg, computed with GGA-PBE.

a = 3.757 Å, b = 3.757 Å, c = 6.888 Å
α = 90.00°, β = 90.00°, γ = 90.00°
Positions (direct):
1 Cd 0.000 0.000 0.238
2 Cd 0.000 0.000 0.762
3 Hg 0.500 0.500 0.000
4 Er 0.500 0.500 0.500

Summary:
As for the density of states at the Fermi level: 0.514 states/eV per atom. The space group is No. 123.



<z>
An optimized crystal structure of ErCd2Hg, computed with GGA-PBE.

a = 3.411 Å, b = 4.950 Å, c = 11.324 Å
α = 90.00°, β = 98.66°, γ = 90.00°
Positions (direct):
1 Cd 0.971 0.750 0.942
2 Cd 0.029 0.250 0.058
3 Cd 0.772 0.250 0.544
4 Cd 0.228 0.750 0.456
5 Er 0.400 0.250 0.801
6 Er 0.600 0.750 0.199
7 Hg 0.156 0.250 0.312
8 Hg 0.844 0.750 0.688

Summary:
As for the density of states at the Fermi level: 0.412 states/eV per atom. The space group is No. 63.



The most stable arrangement is <w>, and the next structure is 0.013 eV/atom less stable.



<w>
An optimized crystal structure of ErCd2Hg, computed with GGA-PBE.

a = 3.280 Å, b = 3.280 Å, c = 11.542 Å
α = 81.83°, β = 81.83°, γ = 60.00°
Positions (direct):
1 Cd 0.909 0.909 0.273
2 Cd 0.091 0.091 0.727
3 Er 0.000 0.000 0.000
4 Hg 0.500 0.500 0.500

Summary:
As for the density of states at the Fermi level: 0.632 states/eV per atom. The space group is No. 166.



<x>
An optimized crystal structure of ErCd2Hg, computed with GGA-PBE.

a = 5.073 Å, b = 5.073 Å, c = 5.073 Å
α = 60.00°, β = 60.00°, γ = 60.00°
Positions (direct):
1 Cd 0.250 0.250 0.250
2 Cd 0.750 0.750 0.750
3 Er 0.000 0.000 0.000
4 Hg 0.500 0.500 0.500

Summary:
As for the density of states at the Fermi level: 0.777 states/eV per atom. The space group is No. 225.



The most stable arrangement is <x>, and the next structure is 0.343 eV/atom less stable.